No. 1
First-principles (GGA-PBE) data for a geometry-optimized Ba5CeS8 structure, as listed in the Alexandria database.

## Properties
DOS at the Fermi energy, states/eV/f.u.: 2.02

a = 8.0046 Å, b = 8.0046 Å, c = 8.0046 Å
α = 109.46°, β = 109.46°, γ = 109.50°
Atoms (fractional coordinates):
Ba: 0.0000 0.0000 0.0000
Ba: 0.2485 0.6082 0.1202
Ba: 0.3918 0.5120 0.6402
Ba: 0.4880 0.1282 0.8798
Ba: 0.8718 0.7515 0.3598
Ce: 0.7500 0.2500 0.5000
S: 0.0845 0.6715 0.7044
S: 0.0900 0.2109 0.7209
S: 0.3285 0.0329 0.4131
S: 0.4901 0.3691 0.2791
S: 0.6199 0.9155 0.5869
S: 0.6309 0.9100 0.1210
S: 0.7891 0.5099 0.8790
S: 0.9671 0.3801 0.2956

No. 2
First-principles (GGA-PBE) data for a geometry-optimized Ba2CeS4 structure, as listed in the Alexandria database.

a = 7.7689 Å, b = 12.4964 Å, c = 4.3893 Å
α = 90.00°, β = 90.00°, γ = 90.00°
Atoms (fractional coordinates):
Ba: 0.0800 0.1810 0.0000
Ba: 0.4200 0.6810 0.0000
Ba: 0.5800 0.3190 0.0000
Ba: 0.9200 0.8190 0.0000
Ce: 0.0000 0.5000 0.5000
Ce: 0.5000 0.0000 0.5000
S: 0.1336 0.6973 0.5000
S: 0.2152 0.4505 0.0000
S: 0.2848 0.9505 0.0000
S: 0.3664 0.1973 0.5000
S: 0.6336 0.8027 0.5000
S: 0.7152 0.0495 0.0000
S: 0.7848 0.5495 0.0000
S: 0.8664 0.3027 0.5000

No. 3
First-principles (GGA-PBE) data for a geometry-optimized Ba2CeS3 structure, as listed in the Alexandria database.

## Properties
DOS at the Fermi energy, states/eV/f.u.: 8.42

a = 7.8648 Å, b = 7.8648 Å, c = 4.4006 Å
α = 90.00°, β = 90.00°, γ = 133.71°
Atoms (fractional coordinates):
Ba: 0.1505 0.8495 0.0000
Ba: 0.8495 0.1505 0.0000
Ce: 0.5000 0.5000 0.5000
S: 0.0000 0.0000 0.5000
S: 0.3686 0.6314 0.0000
S: 0.6314 0.3686 0.0000

No. 4
First-principles (GGA-PBE) data for a geometry-optimized BaCeS4 structure, as listed in the Alexandria database.

## Properties
Polymorph energy (0 for the lowest one), meV/atom: 0.0

a = 8.8529 Å, b = 8.8529 Å, c = 7.7664 Å
α = 100.38°, β = 100.38°, γ = 48.12°
Atoms (fractional coordinates):
Ba: 0.1436 0.1436 0.3929
Ba: 0.8564 0.8564 0.6071
Ce: 0.4761 0.4761 0.7451
Ce: 0.5239 0.5239 0.2549
S: 0.1794 0.6900 0.9836
S: 0.2490 0.7510 0.5000
S: 0.3100 0.8206 0.0164
S: 0.3150 0.3150 0.6329
S: 0.6850 0.6850 0.3671
S: 0.6900 0.1794 0.9836
S: 0.7510 0.2490 0.5000
S: 0.8206 0.3100 0.0164

No. 5
First-principles (GGA-PBE) data for a geometry-optimized Ba2CeScS5 structure, as listed in the Alexandria database.

## Properties
DOS at the Fermi energy, states/eV/f.u.: 5.81

a = 8.9220 Å, b = 8.9220 Å, c = 13.2984 Å
α = 90.00°, β = 90.00°, γ = 152.04°
Atoms (fractional coordinates):
Ba: 0.1050 0.8950 0.5000
Ba: 0.1402 0.8598 0.1184
Ba: 0.8598 0.1402 0.6184
Ba: 0.8950 0.1050 0.0000
Ce: 0.2119 0.7881 0.8274
Ce: 0.7881 0.2119 0.3274
Sc: 0.4737 0.5263 0.2649
Sc: 0.5263 0.4737 0.7649
S: 0.0489 0.9511 0.8554
S: 0.2831 0.7169 0.4671
S: 0.3251 0.6749 0.1940
S: 0.3759 0.6241 0.8103
S: 0.4902 0.5098 0.5887
S: 0.5098 0.4902 0.0887
S: 0.6241 0.3759 0.3103
S: 0.6749 0.3251 0.6940
S: 0.7169 0.2831 0.9671
S: 0.9511 0.0489 0.3554

No. 6
First-principles (GGA-PBE) data for a geometry-optimized Ba2CeSmS6 structure, as listed in the Alexandria database.

## Properties
DOS at the Fermi energy, states/eV/f.u.: 14.64

a = 7.2937 Å, b = 7.6691 Å, c = 12.7472 Å
α = 90.00°, β = 124.46°, γ = 90.00°
Atoms (fractional coordinates):
Ba: 0.2263 0.0670 0.2492
Ba: 0.2263 0.4330 0.7492
Ba: 0.7737 0.5670 0.2508
Ba: 0.7737 0.9330 0.7508
Ce: 0.5000 0.0000 0.0000
Ce: 0.5000 0.5000 0.5000
Sm: 0.0000 0.0000 0.5000
Sm: 0.0000 0.5000 0.0000
S: 0.1543 0.2010 0.9505
S: 0.1543 0.2990 0.4505
S: 0.2496 0.7090 0.9477
S: 0.2496 0.7910 0.4477
S: 0.3498 0.0281 0.7529
S: 0.3498 0.4719 0.2529
S: 0.6502 0.5281 0.7471
S: 0.6502 0.9719 0.2471
S: 0.7504 0.2090 0.5523
S: 0.7504 0.2910 0.0523
S: 0.8457 0.7010 0.5495
S: 0.8457 0.7990 0.0495

no.,formation energy (no corrections) (eV per atom),energy (eV for the cell shown)
1,-1.76,-73.2
2,-1.99,-80.4
3,-1.85,-33.3
4,-1.48,-66.5
5,-2.01,-109.7
6,-1.80,-114.6